1.
First-principles (PBE) data for NpTlH2Br8 after structural relaxation, as listed in Alexandria via LeMat-Bulk.

Lattice parameters (Å, degrees): 7.495 8.183 9.323 111.22 90.15 115.64
Last column: magnetic moment on the atom in μB.
Fractional positions:
Np1 0.000 0.000 0.000  2.61
Tl1 0.000 0.000 0.500  -0.01
H1 0.553 0.448 0.704  0.00
H2 0.447 0.552 0.296  0.00
Br1 0.071 0.792 0.140  -0.08
Br2 0.605 0.734 0.918  -0.08
Br3 0.932 0.212 0.271  -0.08
Br4 0.929 0.208 0.860  -0.08
Br5 0.395 0.266 0.082  -0.08
Br6 0.068 0.788 0.729  -0.08
Br7 0.483 0.729 0.435  0.00
Br8 0.517 0.271 0.565  0.00

crystal system	triclinic
symmetry	P-1 (2)
theoretical density	3.81	g/cm3
total moment	2.00	μB/cell
calculated total energy	-44.73	eV/f.u.


2.
First-principles (PBE) data for HPb2Br2O2 after structural relaxation, as listed in Alexandria via LeMat-Bulk.

Lattice parameters (Å, degrees): 3.926 5.004 9.111 95.50 90.00 113.10
Fractional positions:
H1 0.000 0.000 0.500
Pb1 0.690 0.381 0.331
Pb2 0.310 0.619 0.669
Br1 0.623 0.245 0.828
Br2 0.377 0.755 0.172
O1 0.873 0.746 0.530
O2 0.127 0.254 0.470

crystal system	monoclinic
symmetry	C2/m (12)
theoretical density	6.16	g/cm3
total moment	0.00	μB/cell
calculated total energy	-30.30	eV/f.u.


3.
First-principles (PBE) data for PmH2BrO2 after structural relaxation, as listed in Alexandria via LeMat-Bulk.

Lattice parameters (Å, degrees): 4.079 6.557 7.207 95.22 90.00 90.00
Fractional positions:
Pm1 0.750 0.438 0.689
Pm2 0.250 0.562 0.311
H1 0.438 0.005 0.288
H2 0.062 0.005 0.288
H3 0.938 0.995 0.712
H4 0.562 0.995 0.712
Br1 0.250 0.245 0.966
Br2 0.750 0.755 0.034
O1 0.250 0.958 0.358
O2 0.250 0.571 0.624
O3 0.750 0.042 0.642
O4 0.750 0.429 0.376

crystal system	monoclinic
symmetry	P2_1/m (11)
theoretical density	4.48	g/cm3
total moment	0.00	μB/cell
calculated total energy	-34.13	eV/f.u.


4.
First-principles (PBE) data for PrH18Br3O18 after structural relaxation, as listed in Alexandria via LeMat-Bulk.

Lattice parameters (Å, degrees): 6.868 11.990 11.990 120.00 90.00 90.00
Fractional positions:
Pr1 0.754 0.667 0.333
Pr2 0.254 0.333 0.667
H1 0.072 0.875 0.371
H2 0.072 0.629 0.503
H3 0.072 0.497 0.125
H4 0.072 0.875 0.503
H5 0.072 0.629 0.125
H6 0.072 0.497 0.371
H7 0.927 0.126 0.629
H8 0.927 0.371 0.498
H9 0.927 0.502 0.874
H10 0.927 0.126 0.498
H11 0.927 0.371 0.874
H12 0.927 0.502 0.629
H13 0.572 0.125 0.629
H14 0.572 0.371 0.497
H15 0.572 0.503 0.875
H16 0.572 0.125 0.497
H17 0.572 0.371 0.875
H18 0.572 0.503 0.629
H19 0.427 0.874 0.371
H20 0.427 0.629 0.502
H21 0.427 0.498 0.126
H22 0.427 0.874 0.502
H23 0.427 0.629 0.126
H24 0.427 0.498 0.371
H25 0.742 0.368 0.117
H26 0.742 0.883 0.252
H27 0.742 0.748 0.632
H28 0.742 0.368 0.252
H29 0.742 0.883 0.632
H30 0.742 0.748 0.117
H31 0.242 0.632 0.883
H32 0.242 0.117 0.748
H33 0.242 0.252 0.368
H34 0.242 0.632 0.748
H35 0.242 0.117 0.368
H36 0.242 0.252 0.883
Br1 0.742 0.738 0.869
Br2 0.742 0.131 0.869
Br3 0.742 0.131 0.262
Br4 0.242 0.262 0.131
Br5 0.242 0.869 0.131
Br6 0.242 0.869 0.738
O1 0.767 0.421 0.210
O2 0.767 0.790 0.210
O3 0.767 0.790 0.579
O4 0.267 0.579 0.790
O5 0.267 0.210 0.790
O6 0.267 0.210 0.421
O7 0.748 0.637 0.932
O8 0.748 0.068 0.706
O9 0.748 0.294 0.363
O10 0.748 0.637 0.706
O11 0.748 0.068 0.363
O12 0.748 0.294 0.932
O13 0.248 0.363 0.068
O14 0.248 0.932 0.294
O15 0.248 0.706 0.637
O16 0.248 0.363 0.294
O17 0.248 0.932 0.637
O18 0.248 0.706 0.068
O19 0.999 0.845 0.423
O20 0.999 0.577 0.423
O21 0.999 0.577 0.155
O22 0.003 0.155 0.578
O23 0.003 0.422 0.578
O24 0.003 0.422 0.845
O25 0.499 0.155 0.577
O26 0.499 0.423 0.577
O27 0.499 0.423 0.845
O28 0.503 0.845 0.422
O29 0.503 0.578 0.422
O30 0.503 0.578 0.155
O31 0.955 0.812 0.906
O32 0.955 0.094 0.906
O33 0.955 0.094 0.188
O34 0.455 0.188 0.094
O35 0.455 0.906 0.094
O36 0.455 0.906 0.812

crystal system	hexagonal
symmetry	P6_3mc (186)
theoretical density	2.67	g/cm3
total moment	0.00	μB/cell
calculated total energy	-195.02	eV/f.u.


5.
First-principles (PBE) data for PrH2BrO2 after structural relaxation, as listed in Alexandria via LeMat-Bulk.

Lattice parameters (Å, degrees): 4.042 6.028 7.414 100.05 90.00 90.00
Fractional positions:
Pr1 0.750 0.421 0.686
Pr2 0.250 0.579 0.314
H1 0.444 0.095 0.328
H2 0.056 0.095 0.328
H3 0.944 0.905 0.672
H4 0.556 0.905 0.672
Br1 0.250 0.233 0.944
Br2 0.750 0.767 0.056
O1 0.250 0.031 0.381
O2 0.250 0.602 0.630
O3 0.750 0.969 0.619
O4 0.750 0.398 0.370

crystal system	monoclinic
symmetry	P2_1/m (11)
theoretical density	4.76	g/cm3
total moment	0.00	μB/cell
calculated total energy	-34.02	eV/f.u.


6.
First-principles (PBE) data for PuHBr2O after structural relaxation, as listed in Alexandria via LeMat-Bulk.

Lattice parameters (Å, degrees): 3.884 6.625 8.994 106.58 90.00 90.00
Last column: magnetic moment on the atom in μB.
Fractional positions:
Pu1 0.250 0.482 0.252  5.04
Pu2 0.750 0.518 0.748  5.04
H1 0.250 0.863 0.817  0.00
H2 0.750 0.137 0.183  0.00
Br1 0.750 0.740 0.496  -0.05
Br2 0.750 0.742 0.106  -0.03
Br3 0.250 0.260 0.504  -0.05
Br4 0.250 0.258 0.894  -0.03
O1 0.250 0.708 0.793  -0.07
O2 0.750 0.292 0.207  -0.07

crystal system	monoclinic
symmetry	P2_1/m (11)
theoretical density	6.30	g/cm3
total moment	10.00	μB/cell
calculated total energy	-34.17	eV/f.u.


7.
First-principles (PBE) data for PuHBrO2 after structural relaxation, as listed in Alexandria via LeMat-Bulk.

Lattice parameters (Å, degrees): 4.084 6.958 7.004 97.13 90.00 90.00
Last column: magnetic moment on the atom in μB.
Fractional positions:
Pu1 0.250 0.683 0.920  4.27
Pu2 0.750 0.317 0.080  4.27
H1 0.250 0.573 0.489  0.00
H2 0.750 0.427 0.511  0.00
Br1 0.250 0.078 0.795  -0.06
Br2 0.750 0.922 0.205  -0.06
O1 0.750 0.395 0.372  -0.10
O2 0.250 0.605 0.628  -0.10
O3 0.750 0.554 0.905  -0.17
O4 0.250 0.446 0.095  -0.17

crystal system	monoclinic
symmetry	P2_1/m (11)
theoretical density	6.00	g/cm3
total moment	8.00	μB/cell
calculated total energy	-38.65	eV/f.u.


8.
First-principles (PBE) data for Rb2HBrO after structural relaxation, as listed in Alexandria via LeMat-Bulk.

Lattice parameters (Å, degrees): 4.533 7.117 9.052 71.91 90.00 90.00
Last column: magnetic moment on the atom in μB.
Fractional positions:
Rb1 0.750 0.713 0.037  0.00
Rb2 0.250 0.294 0.385  0.00
Rb3 0.750 0.706 0.615  0.00
Rb4 0.250 0.287 0.963  0.00
H1 0.250 0.829 0.791  0.00
H2 0.750 0.171 0.209  0.00
Br1 0.250 0.823 0.301  0.00
Br2 0.750 0.177 0.699  0.00
O1 0.250 0.685 0.828  0.07
O2 0.750 0.315 0.172  0.07

crystal system	monoclinic
symmetry	P2_1/m (11)
theoretical density	3.20	g/cm3
total moment	0.20	μB/cell
calculated total energy	-19.31	eV/f.u.


9.
First-principles (PBE) data for Rb2HBrO after structural relaxation, as listed in Alexandria via LeMat-Bulk.

Lattice parameters (Å, degrees): 7.996 7.996 7.259 123.42 123.42 90.00
Fractional positions:
Rb1 0.257 0.757 0.014
Rb2 0.757 0.757 0.014
Rb3 0.757 0.257 0.014
Rb4 0.257 0.257 0.014
H1 0.665 0.665 0.331
H2 0.165 0.165 0.331
Br1 0.763 0.263 0.525
Br2 0.263 0.763 0.525
O1 0.058 0.058 0.116
O2 0.558 0.558 0.116

crystal system	tetragonal
symmetry	P4mm (99)
theoretical density	3.06	g/cm3
total moment	0.06	μB/cell
calculated total energy	-19.19	eV/f.u.


10.
First-principles (PBE) data for RbZnH2Se2BrO6 after structural relaxation, as listed in Alexandria via LeMat-Bulk.

Lattice parameters (Å, degrees): 6.379 6.623 10.904 77.06 90.00 90.00
Fractional positions:
Rb1 0.838 0.500 0.250
Rb2 0.162 0.500 0.750
Zn1 0.442 0.000 0.250
Zn2 0.558 0.000 0.750
H1 0.347 0.435 0.090
H2 0.347 0.565 0.410
H3 0.653 0.435 0.590
H4 0.653 0.565 0.910
Se1 0.324 0.796 0.012
Se2 0.324 0.204 0.488
Se3 0.676 0.796 0.512
Se4 0.676 0.204 0.988
Br1 0.057 0.000 0.250
Br2 0.943 0.000 0.750
O1 0.227 0.538 0.075
O2 0.519 0.818 0.116
O3 0.540 0.255 0.116
O4 0.540 0.745 0.384
O5 0.519 0.182 0.384
O6 0.227 0.462 0.425
O7 0.773 0.538 0.575
O8 0.481 0.818 0.616
O9 0.460 0.255 0.616
O10 0.460 0.745 0.884
O11 0.481 0.182 0.884
O12 0.773 0.462 0.925

crystal system	monoclinic
symmetry	P2/c (13)
theoretical density	3.60	g/cm3
total moment	0.00	μB/cell
calculated total energy	-61.75	eV/f.u.


11.
First-principles (PBE) data for SbHBrO2 after structural relaxation, as listed in Alexandria via LeMat-Bulk.

Lattice parameters (Å, degrees): 4.062 6.111 7.071 83.99 90.00 90.00
Fractional positions:
Sb1 0.750 0.187 0.592
Sb2 0.250 0.813 0.408
H1 0.250 0.886 0.048
H2 0.750 0.114 0.952
Br1 0.750 0.474 0.231
Br2 0.250 0.526 0.769
O1 0.750 0.021 0.848
O2 0.250 0.979 0.152
O3 0.250 0.102 0.534
O4 0.750 0.898 0.466

crystal system	monoclinic
symmetry	P2_1/m (11)
theoretical density	4.47	g/cm3
total moment	0.00	μB/cell
calculated total energy	-23.52	eV/f.u.


12.
First-principles (PBE) data for SnHBrO after structural relaxation, as listed in Alexandria via LeMat-Bulk.

Lattice parameters (Å, degrees): 4.499 4.848 5.971 108.10 86.08 132.70
Fractional positions:
Sn1 0.987 0.176 0.886
H1 0.603 0.382 0.634
Br1 0.737 0.923 0.402
O1 0.635 0.509 0.807

crystal system	triclinic
symmetry	P1 (1)
theoretical density	4.02	g/cm3
total moment	0.00	μB/cell
calculated total energy	-17.58	eV/f.u.